Here is Ho6As2PbS3 after structural relaxation from the Alexandria database. Energies are from PBE.

a = 4.027 Å, b = 8.166 Å, c = 9.070 Å
α = 102.45°, β = 102.83°, γ = 90.00°
Sites, in units of the cell vectors:
Ho1 0.674 0.088 0.347
Ho2 0.000 0.729 0.000
Pb1 0.500 0.000 0.000
Ho3 0.000 0.271 0.000
Ho4 0.332 0.417 0.663
S1 0.833 0.168 0.667
As1 0.167 0.335 0.334
Ho5 0.668 0.583 0.337
Ho6 0.326 0.912 0.653
S2 0.500 0.500 0.000
S3 0.167 0.832 0.333
As2 0.833 0.665 0.666

Properties
Symmetry: C2/m, No. 12
Fermi-level density of states, states/eV per atom: 0.37
Volume, A^3/atom: 23.638
Calculated total energy, eV per atom: -5.95